Entry 1:
The following is a GGA-PBE calculation of a geometry-optimized Co2SbHCl structure, from Alexandria.

SG: P4/mmm (123)
DFT total energy in eV for the cell shown: -19.61
Total magnetization in μB per atom: 0.4948
Crystal system: tetragonal
Calculated volume in Å³ per cell: 72

a b c (Å): 3.944 3.944 4.647
angles (deg): 90.00 90.00 90.00
Fractional positions:
Co1 0.000 0.500 0.000
Co2 0.500 0.000 0.000
Sb1 0.000 0.000 0.500
H1 0.000 0.000 0.000
Cl1 0.500 0.500 0.500

=====

Entry 2:
The following is a GGA-PBE calculation of a geometry-optimized Sm4CoHCl2 structure, from Alexandria.

SG: P2/m (10)
DFT total energy in eV for the cell shown: -39.72
Total magnetization in μB per atom: 0.0000
Crystal system: monoclinic
Calculated volume in Å³ per cell: 184

a b c (Å): 6.515 3.855 7.628
angles (deg): 90.00 106.55 90.00
Fractional positions:
Sm1 0.237 0.000 0.204
Sm2 0.255 0.500 0.800
Sm3 0.745 0.500 0.200
Sm4 0.763 0.000 0.796
Co1 0.500 0.000 0.000
H1 0.000 0.500 0.000
Cl1 0.000 0.000 0.500
Cl2 0.500 0.500 0.500

=====

Entry 3:
The following is a GGA-PBE calculation of a geometry-optimized Sm6Co2HCl3 structure, from Alexandria.

SG: C2/m (12)
DFT total energy in eV for the cell shown: -61.66
Total magnetization in μB per atom: 0.0000
Crystal system: monoclinic
Calculated volume in Å³ per cell: 289

a b c (Å): 6.724 6.724 7.721
angles (deg): 98.36 98.36 120.05
Fractional positions:
Sm1 0.095 0.433 0.801
Sm2 0.228 0.228 0.197
Sm3 0.433 0.095 0.801
Sm4 0.567 0.905 0.199
Sm5 0.772 0.772 0.803
Sm6 0.905 0.567 0.199
Co1 0.167 0.833 0.000
Co2 0.833 0.167 0.000
H1 0.500 0.500 0.000
Cl1 0.000 0.000 0.500
Cl2 0.330 0.670 0.500
Cl3 0.670 0.330 0.500

=====

Entry 4:
The following is a GGA-PBE calculation of a geometry-optimized Tb6Co2HCl3 structure, from Alexandria.

SG: C2/m (12)
DFT total energy in eV for the cell shown: -61.19
Total magnetization in μB per atom: 0.0000
Crystal system: monoclinic
Calculated volume in Å³ per cell: 275

a b c (Å): 6.595 6.595 7.622
angles (deg): 98.27 98.27 120.10
Fractional positions:
Tb1 0.097 0.434 0.803
Tb2 0.228 0.228 0.194
Tb3 0.434 0.097 0.803
Tb4 0.566 0.903 0.197
Tb5 0.772 0.772 0.806
Tb6 0.903 0.566 0.197
Co1 0.167 0.833 0.000
Co2 0.833 0.167 0.000
H1 0.500 0.500 0.000
Cl1 0.000 0.000 0.500
Cl2 0.332 0.668 0.500
Cl3 0.668 0.332 0.500

=====

Entry 5:
The following is a GGA-PBE calculation of a geometry-optimized VCoH2Cl structure, from Alexandria.

SG: P4/mmm (123)
DFT total energy in eV for the cell shown: -23.03
Total magnetization in μB per atom: 0.5352
Crystal system: tetragonal
Calculated volume in Å³ per cell: 52

a b c (Å): 3.392 3.392 4.508
angles (deg): 90.00 90.00 90.00
Fractional positions:
V1 0.000 0.000 0.000
Co1 0.500 0.500 0.500
H1 0.000 0.500 0.500
H2 0.500 0.000 0.500
Cl1 0.500 0.500 0.000

=====

Entry 6:
The following is a GGA-PBE calculation of a geometry-optimized HfCo3Cl structure, from Alexandria.

SG: Pm-3m (221)
Raw formation energy in eV per atom: 1.4770
Total magnetization in μB per atom: 0.5798
Crystal system: cubic
Energy above the lowest structure with this stoichiometry in eV per atom: 0.975
Calculated volume in Å³ per cell: 103

a b c (Å): 4.694 4.694 4.694
angles (deg): 90.00 90.00 90.00
Fractional positions:
Hf1 0.000 0.000 0.000
Co1 0.000 0.000 0.500
Co2 0.000 0.500 0.000
Co3 0.500 0.000 0.000
Cl1 0.500 0.500 0.500

=====

Entry 7:
The following is a GGA-PBE calculation of a geometry-optimized HfCoCl2 structure, from Alexandria.

SG: Fm-3m (225)
Raw formation energy in eV per atom: 0.1111
Total magnetization in μB per atom: 0.0001
Crystal system: cubic
Energy above the lowest structure with this stoichiometry in eV per atom: 0.462
Calculated volume in Å³ per cell: 60

a b c (Å): 4.406 4.406 4.406
angles (deg): 60.00 60.00 60.00
Fractional positions:
Hf1 0.000 0.000 0.000
Co1 0.500 0.500 0.500
Cl1 0.250 0.250 0.250
Cl2 0.750 0.750 0.750

=====

Entry 8:
The following is a GGA-PBE calculation of a geometry-optimized HfCoCl3 structure, from Alexandria.

SG: Pm-3m (221)
Raw formation energy in eV per atom: -0.1890
Total magnetization in μB per atom: 0.5882
Crystal system: cubic
Energy above the lowest structure with this stoichiometry in eV per atom: 0.000
Calculated volume in Å³ per cell: 124

a b c (Å): 4.990 4.990 4.990
angles (deg): 90.00 90.00 90.00
Fractional positions:
Hf1 0.000 0.000 0.000
Co1 0.500 0.500 0.500
Cl1 0.000 0.000 0.500
Cl2 0.000 0.500 0.000
Cl3 0.500 0.000 0.000

=====

Entry 9:
The following is a GGA-PBE calculation of a geometry-optimized HfCoCl3 structure, from Alexandria.

SG: Pm-3m (221)
Raw formation energy in eV per atom: 0.1467
Total magnetization in μB per atom: 0.1497
Crystal system: cubic
Energy above the lowest structure with this stoichiometry in eV per atom: 0.336
Calculated volume in Å³ per cell: 95

a b c (Å): 4.560 4.560 4.560
angles (deg): 90.00 90.00 90.00
Fractional positions:
Hf1 0.000 0.000 0.000
Co1 0.500 0.500 0.500
Cl1 0.000 0.500 0.500
Cl2 0.500 0.000 0.500
Cl3 0.500 0.500 0.000

=====

Entry 10:
The following is a GGA-PBE calculation of a geometry-optimized HfCoCl2 structure, from Alexandria.

SG: I-42d (122)
Raw formation energy in eV per atom: 0.0917
Total magnetization in μB per atom: 0.0000
Crystal system: tetragonal
Energy above the lowest structure with this stoichiometry in eV per atom: 0.443
Calculated volume in Å³ per cell: 153

a b c (Å): 6.350 6.350 6.350
angles (deg): 128.47 128.47 75.86
Fractional positions:
Hf1 0.000 0.000 0.000
Hf2 0.750 0.250 0.500
Co1 0.250 0.750 0.500
Co2 0.500 0.500 0.000
Cl1 0.169 0.625 0.044
Cl2 0.375 0.419 0.544
Cl3 0.581 0.125 0.956
Cl4 0.875 0.831 0.456

=====

Entry 11:
The following is a GGA-PBE calculation of a geometry-optimized HfCoCl2 structure, from Alexandria.

SG: R-3m (166)
Raw formation energy in eV per atom: -0.3513
Total magnetization in μB per atom: 0.3513
Crystal system: trigonal
Energy above the lowest structure with this stoichiometry in eV per atom: 0.000
Calculated volume in Å³ per cell: 71

a b c (Å): 8.342 8.342 8.342
angles (deg): 21.96 21.96 21.96
Fractional positions:
Hf1 0.000 0.000 0.000
Co1 0.500 0.500 0.500
Cl1 0.410 0.410 0.410
Cl2 0.590 0.590 0.590

=====

Entry 12:
The following is a GGA-PBE calculation of a geometry-optimized HfCo3Cl structure, from Alexandria.

SG: Pm-3m (221)
Raw formation energy in eV per atom: 0.5021
Total magnetization in μB per atom: 0.0001
Crystal system: cubic
Energy above the lowest structure with this stoichiometry in eV per atom: 0.000
Calculated volume in Å³ per cell: 70

a b c (Å): 4.128 4.128 4.128
angles (deg): 90.00 90.00 90.00
Fractional positions:
Hf1 0.000 0.000 0.000
Co1 0.000 0.500 0.500
Co2 0.500 0.000 0.500
Co3 0.500 0.500 0.000
Cl1 0.500 0.500 0.500